The following is a DFT calculation (GGA-PBE) of InCo2Cl after structural relaxation.

a = 4.226 Å, b = 3.160 Å, c = 4.916 Å
α = 89.98°, β = 90.00°, γ = 90.00°
Last column: magnetic moment on the atom in μB.
Sites, in units of the cell vectors:
Co: 0.500 0.375 0.159  1.31
Co: 0.000 0.875 0.017  1.02
Cl: 0.500 0.875 0.848  0.07
In: 0.000 0.374 0.476  -0.07

Values from the calculation:
Distance to the lowest polymorph of the same formula: 0.165 eV/atom
Size of the total moment: 2.201 μB per formula unit
Uncorrected formation energy: 0.315 eV/atom